Record 1
Density functional theory data (PBE-GGA) for a relaxed PmErCoPd crystal.

Calculated values
Volume   83.01 Å³ per cell
Magnetic moment   0.060 μB/atom
DOS at the Fermi energy   2.886 states/eV/f.u.
VASP energy   -5.8330 eV/atom

```
PmErCoPd
1.0
0.0000 3.4623 3.4623
3.4623 0.0000 3.4623
3.4623 3.4623 0.0000
Pm Er Co Pd
1 1 1 1
Direct
0.0000 0.0000 0.0000
0.5000 0.5000 0.5000
0.7500 0.7500 0.7500
0.2500 0.2500 0.2500
```

Record 2
Density functional theory data (PBE-GGA) for a relaxed CeLuMgBi crystal.

Calculated values
Volume   112.65 Å³ per cell
Magnetic moment   0.226 μB/atom
DOS at the Fermi energy   13.166 states/eV/f.u.
VASP energy   -4.2076 eV/atom

```
CeLuMgBi
1.0
0.0000 3.8333 3.8333
3.8333 0.0000 3.8333
3.8333 3.8333 0.0000
Ce Lu Mg Bi
1 1 1 1
Direct
0.0000 0.0000 0.0000
0.5000 0.5000 0.5000
0.7500 0.7500 0.7500
0.2500 0.2500 0.2500
```

Record 3
Density functional theory data (PBE-GGA) for a relaxed MgZn2Ni crystal.

Calculated values
Volume   61.05 Å³ per cell
Magnetic moment   0.000 μB/atom
DOS at the Fermi energy   2.321 states/eV/f.u.
VASP energy   -2.4816 eV/atom

```
MgZn2Ni
1.0
1.4303 0.8258 8.6143
-1.4303 0.8258 8.6143
0.0000 -1.6516 8.6143
Mg Zn Ni
1 2 1
Direct
0.0000 0.0000 0.0000
0.2399 0.2399 0.2399
0.7601 0.7601 0.7601
0.5000 0.5000 0.5000
```

Record 4
Density functional theory data (PBE-GGA) for a relaxed Hg4AsIBr2 crystal.

Calculated values
Volume   511.72 Å³ per cell
Magnetic moment   0.000 μB/atom
DOS at the Fermi energy   2.520 states/eV/f.u.
Formation energy without anion corrections   -0.1294 eV/atom

```
Hg4AsIBr2
1.0
5.8157 -7.5431 0.0000
5.8157 7.5431 0.0000
-5.7547 0.0000 5.8323
Hg As I Br
8 2 2 4
Direct
0.1828 0.8160 0.9897
0.1840 0.8172 0.5103
0.2319 0.2355 0.9836
0.2355 0.2319 0.4836
0.7645 0.7681 0.5164
0.7681 0.7645 0.0164
0.8160 0.1828 0.4897
0.8172 0.1840 0.0103
0.0000 0.0000 0.0000
0.0000 0.0000 0.5000
0.0000 0.5000 0.0000
0.5000 0.0000 0.5000
0.0000 0.5000 0.5000
0.5000 0.0000 0.0000
0.5000 0.5000 0.0000
0.5000 0.5000 0.5000
```

Record 5
Density functional theory data (PBE-GGA) for a relaxed InBi3Te crystal.

Calculated values
Volume   208.89 Å³ per cell
Relative energy among the computed polymorphs   0 meV per atom
Magnetic moment   0.000 μB/atom
DOS at the Fermi energy   9.391 states/eV/f.u.
Formation energy without anion corrections   0.6130 eV/atom

```
InBi3Te
1.0
5.9335 0.0000 0.0000
0.0000 5.9335 0.0000
0.0000 0.0000 5.9335
In Bi Te
1 3 1
Direct
0.0000 0.0000 0.0000
0.0000 0.5000 0.5000
0.5000 0.0000 0.5000
0.5000 0.5000 0.0000
0.5000 0.5000 0.5000
```

Record 6
Density functional theory data (PBE-GGA) for a relaxed Re3AgO12 crystal.

Calculated values
Volume   696.07 Å³ per cell
Magnetic moment   0.126 μB/atom
DOS at the Fermi energy   0.512 states/eV/f.u.
Formation energy without anion corrections   -1.2381 eV/atom

```
Re3AgO12
1.0
4.5354 2.6185 9.7686
-4.5354 2.6185 9.7686
0.0000 -5.2370 9.7686
Re Ag O
6 2 24
Direct
0.0729 0.2855 0.6416
0.1416 0.7855 0.5729
0.2855 0.6416 0.0729
0.5729 0.1416 0.7855
0.6416 0.0729 0.2855
0.7855 0.5729 0.1416
0.4230 0.4230 0.4230
0.9230 0.9230 0.9230
0.0569 0.4045 0.4419
0.0689 0.7414 0.0885
0.0885 0.0689 0.7414
0.1110 0.7693 0.7627
0.2414 0.5689 0.5885
0.2627 0.2693 0.6110
0.2693 0.6110 0.2627
0.2782 0.8946 0.3852
0.3852 0.2782 0.8946
0.3946 0.7782 0.8852
0.4045 0.4419 0.0569
0.4419 0.0569 0.4045
0.5569 0.9419 0.9045
0.5689 0.5885 0.2414
0.5885 0.2414 0.5689
0.6110 0.2627 0.2693
0.7414 0.0885 0.0689
0.7627 0.1110 0.7693
0.7693 0.7627 0.1110
0.7782 0.8852 0.3946
0.8852 0.3946 0.7782
0.8946 0.3852 0.2782
0.9045 0.5569 0.9419
0.9419 0.9045 0.5569
```

Record 7
Density functional theory data (PBE-GGA) for a relaxed CsTi2AgMo crystal.

Calculated values
Volume   141.18 Å³ per cell
Magnetic moment   1.364 μB/atom
DOS at the Fermi energy   11.881 states/eV/f.u.
VASP energy   -3.9423 eV/atom

```
CsTi2AgMo
1.0
4.9863 0.0000 0.0000
0.0000 4.9863 0.0000
0.0000 0.0000 5.6782
Cs Ti Ag Mo
1 2 1 1
Direct
0.0000 0.0000 0.0000
0.0000 0.5000 0.5000
0.5000 0.0000 0.5000
0.0000 0.0000 0.5000
0.5000 0.5000 0.0000
```

Record 8
Density functional theory data (PBE-GGA) for a relaxed SrAuBr2 crystal.

Calculated values
Volume   121.55 Å³ per cell
Relative energy among the computed polymorphs   17 meV per atom
Magnetic moment   0.000 μB/atom
DOS at the Fermi energy   0.072 states/eV/f.u.
Formation energy without anion corrections   -1.0826 eV/atom

```
SrAuBr2
1.0
6.6376 -2.1523 0.0000
6.6376 2.1523 0.0000
-0.0094 0.0000 4.2540
Sr Au Br
1 1 2
Direct
0.0000 0.0000 0.0000
0.8276 0.8276 0.4986
0.3260 0.3260 0.9985
0.5845 0.5845 0.5007
```